Record 1
# VZnCdNi2 | the Alexandria database | PBE | optimized geometry
# DFT formation energy: 0.82 eV/atom
# Total moment: 0.7937 μB/atom
data_VZnCdNi2
_chemical_formula_sum 'V1 Zn1 Cd1 Ni2'
_cell_length_a 4.387
_cell_length_b 4.640
_cell_length_c 4.387
_cell_angle_alpha 90.00
_cell_angle_beta 90.00
_cell_angle_gamma 90.00
_symmetry_space_group_name_H-M 'P 1'
_symmetry_Int_Tables_number 1
loop_
_symmetry_equiv_pos_as_xyz
'x,y,z'
loop_
_atom_site_label
_atom_site_fract_x
_atom_site_fract_y
_atom_site_fract_z
Ni1 0.000 0.000 0.500
Ni2 0.500 0.000 0.000
Zn1 0.000 0.000 0.000
V1 0.000 0.500 0.000
Cd1 0.500 0.500 0.500

=====

Record 2
# CdNiW | the Alexandria database | PBE | optimized geometry
# DFT formation energy: 1.24 eV/atom
# Total moment: 0.0000 μB/atom
data_CdNiW
_chemical_formula_sum 'Cd1 Ni1 W1'
_cell_length_a 4.307
_cell_length_b 4.307
_cell_length_c 4.307
_cell_angle_alpha 60.00
_cell_angle_beta 60.00
_cell_angle_gamma 60.00
_symmetry_space_group_name_H-M 'P 1'
_symmetry_Int_Tables_number 1
loop_
_symmetry_equiv_pos_as_xyz
'x,y,z'
loop_
_atom_site_label
_atom_site_fract_x
_atom_site_fract_y
_atom_site_fract_z
Cd1 0.000 0.000 0.000
Ni1 0.500 0.500 0.500
W1 0.750 0.750 0.750